A plane-wave DFT calculation with GGA-PBE was carried out for an optimized crystal structure of AlMo2Pt.

Summary:
* DFT formation energy: -0.1363 eV per atom
* density: 11.1 g cm⁻³
* DFT total energy: -8.00 eV per atom

abc: 9.2607 9.2607 9.2607
angles: 17.42 17.42 17.42
Closest atoms and distances in Å follow each position.
Atoms (fractional coordinates):
Al: 0.7524 0.7524 0.7524  3 Pt 2.66, 3 Mo 2.78, 6 Al 2.81
Mo: 0.0032 0.0032 0.0032  3 Al 2.78, 9 Mo 2.81-2.91
Mo: 0.2483 0.2483 0.2483  9 Mo 2.81-2.91, 3 Pt 2.84
Pt: 0.4962 0.4962 0.4962  3 Al 2.66, 6 Pt 2.81, 3 Mo 2.84

=====

A plane-wave DFT calculation with GGA-PBE was carried out for an optimized crystal structure of AlMo2Pt.

Summary:
* DFT formation energy: -0.2115 eV per atom
* density: 11.1 g cm⁻³
* DFT total energy: -8.07 eV per atom

abc: 2.7305 3.9988 5.6889
angles: 90.00 90.00 90.00
Closest atoms and distances in Å follow each position.
Atoms (fractional coordinates):
Mo: 0.0000 0.0000 0.0015  6 Mo 2.73-2.77, 2 Pt 2.75-2.94, 4 Al 2.84
Mo: 0.5000 0.5000 0.2391  6 Mo 2.73-2.77, 2 Al 2.83-2.85, 4 Pt 2.90
Pt: 0.0000 0.0000 0.5185  2 Pt 2.73, 4 Al 2.73, 6 Mo 2.75-2.94
Al: 0.5000 0.5000 0.7409  2 Al 2.73, 4 Pt 2.73, 6 Mo 2.83-2.85

=====

A plane-wave DFT calculation with GGA-PBE was carried out for an optimized crystal structure of AlMo2Pt.

Summary:
* DFT formation energy: -0.0508 eV per atom
* density: 11.0 g cm⁻³
* DFT total energy: -7.91 eV per atom

abc: 4.7854 4.7854 2.7262
angles: 90.00 90.00 90.00
Closest atoms and distances in Å follow each position.
Atoms (fractional coordinates):
Pt: 0.5000 0.0000 0.5000  2 Pt 2.73, 8 Mo 2.75
Mo: 0.0000 0.0000 0.0000  2 Mo 2.73, 4 Pt 2.75, 4 Al 2.75
Mo: 0.5000 0.5000 0.0000  2 Mo 2.73, 4 Al 2.75, 4 Pt 2.75
Al: 0.0000 0.5000 0.5000  2 Al 2.73, 8 Mo 2.75

=====

Question: The highest DFT formation energy belongs to which entry?
Answer: number 3